The following is a PBE-GGA calculation of Tl5Hg12I3 after structural relaxation, from Alexandria via LeMat-Bulk.

The structure belongs to space group Ia-3d (No. 230); the cell edges are 18.943, 18.943 and 18.943 Å and the angles 90.00°, 90.00° and 90.00°. The distinct sites, in fractional coordinates, are Tl at (0.000, 0.000, 0.000), Tl at (0.000, 0.250, 0.375), Hg at (0.026, 0.076, 0.645) and I at (0.000, 0.250, 0.125).

The magnetic moment is 0.00 μB/f.u. The energy relative to the elements, uncorrected comes out at -0.006 eV/atom. For the volume, the calculation gives 42.48 A^3/atom.